[1]
DFT (PBE) results for LaAl2Ge2 after structural relaxation.

a = 4.1864 Å, b = 4.1864 Å, c = 23.3472 Å
α = 90.00°, β = 90.00°, γ = 120.00°
Sites, in units of the cell vectors:
La (0.0000, 0.0000, 0.0000)
La (0.3333, 0.6667, 0.6667)
La (0.6667, 0.3333, 0.3333)
Al (0.0000, 0.0000, 0.2162)
Al (0.0000, 0.0000, 0.7838)
Al (0.3333, 0.6667, 0.4505)
Al (0.3333, 0.6667, 0.8828)
Al (0.6667, 0.3333, 0.1172)
Al (0.6667, 0.3333, 0.5495)
Ge (0.0000, 0.0000, 0.4169)
Ge (0.0000, 0.0000, 0.5831)
Ge (0.3333, 0.6667, 0.0836)
Ge (0.3333, 0.6667, 0.2498)
Ge (0.6667, 0.3333, 0.7502)
Ge (0.6667, 0.3333, 0.9164)

Calculated values
The crystal system is trigonal. For the final energy, the calculation gives -68.43 eV per cell. The size of the total moment is 0.00 μB/f.u. Its energy relative to the elements is -1.16 eV per formula unit. As for the space group: No. 166.


[2]
DFT (PBE) results for MgHg4As after structural relaxation.

a = 5.9397 Å, b = 5.9397 Å, c = 5.9397 Å
α = 60.00°, β = 60.00°, γ = 60.00°
Sites, in units of the cell vectors:
Mg (0.0000, 0.0000, 0.0000)
Hg (0.3752, 0.3752, 0.3752)
Hg (0.3752, 0.3752, 0.8743)
Hg (0.3752, 0.8743, 0.3752)
Hg (0.8743, 0.3752, 0.3752)
As (0.7500, 0.7500, 0.7500)

Calculated values
The crystal system is cubic. For the final energy, the calculation gives -5.68 eV per cell. The size of the total moment is 0.00 μB/f.u. Its energy relative to the elements is 1.77 eV per formula unit. As for the space group: No. 216.